Density functional theory data (PBE) for CuGePd2 after structural relaxation.

abc: 4.1802 4.1802 4.9098
angles: 64.81 64.81 60.00
Atoms (fractional coordinates):
Cu 0.4885 0.4885 0.5345
Ge 0.6806 0.6806 0.9583
Pd 0.2728 0.2728 0.1817
Pd 0.0582 0.0582 0.8255

Computed properties:
For the electronic total energy, the calculation gives -4.948 eV/atom. The formation energy is -0.17 eV/atom. The calculation puts the density of states at the Fermi level at 2.43 states/eV/cell. As for the space group: R3m.